# 1
An optimized crystal structure of ZrAgGeO5. Source: Alexandria, functional PBE.

final energy = -6.90 eV/atom
formation energy from raw total energies = -1.80 eV/atom

Lattice parameters (Å, degrees): 5.716 5.716 7.848 103.18 103.18 109.66
Last column: magnetic moment on the atom in μB.
Positions (direct):
O  0.601  0.757  0.926  0.04
O  0.946  0.332  0.150  0.11
O  0.399  0.243  0.074  0.04
O  0.668  0.054  0.350  0.11
O  0.085  0.915  0.250  0.21
O  0.054  0.668  0.850  0.11
O  0.243  0.399  0.574  0.04
O  0.332  0.946  0.650  0.11
O  0.915  0.085  0.750  0.21
O  0.757  0.601  0.426  0.04
Ag  0.317  0.683  0.250  0.40
Ag  0.683  0.317  0.750  0.40
Zr  0.000  0.000  0.500  0.00
Zr  0.000  0.000  0.000  0.00
Ge  0.688  0.312  0.250  0.01
Ge  0.312  0.688  0.750  0.01

# 2
An optimized crystal structure of Ho3Th2ScAs6. Source: Alexandria, functional PBE.

final energy = -6.68 eV/atom
formation energy = -1.44 eV per atom

Lattice parameters (Å, degrees): 4.140 8.241 9.226 103.04 102.97 90.00
Positions (direct):
As  0.665  0.588  0.330
As  0.337  0.927  0.675
As  0.335  0.412  0.670
As  0.996  0.240  0.993
As  0.004  0.760  0.007
As  0.663  0.073  0.325
Th  0.837  0.672  0.673
Th  0.163  0.328  0.327
Sc  0.500  0.000  0.000
Ho  0.833  0.165  0.665
Ho  0.500  0.500  0.000
Ho  0.167  0.835  0.335

# 3
An optimized crystal structure of Ba6NaHPd. Source: Alexandria, functional PBE.

final energy = -2.52 eV/atom

Lattice parameters (Å, degrees): 8.106 8.106 7.764 90.01 89.99 59.98
Positions (direct):
Ba  0.365  0.630  0.271
Ba  0.630  0.365  0.729
Ba  0.005  0.365  0.271
Ba  0.005  0.630  0.729
Ba  0.630  0.005  0.271
Ba  0.365  0.005  0.729
Pd  0.667  0.667  0.500
Na  0.000  0.000  0.000
H  0.333  0.333  0.500

# 4
An optimized crystal structure of SbSe6IF6. Source: Alexandria, functional PBE.

final energy = -3.90 eV/atom
formation energy from raw total energies = -1.20 eV/atom

Lattice parameters (Å, degrees): 7.291 9.522 12.034 60.11 90.00 90.00
Positions (direct):
F  0.112  0.089  0.596
F  0.107  0.209  0.886
F  0.213  0.055  0.392
F  0.213  0.945  0.108
F  0.888  0.911  0.404
F  0.893  0.209  0.386
F  0.107  0.791  0.614
F  0.893  0.791  0.114
F  0.112  0.911  0.904
F  0.787  0.945  0.608
F  0.787  0.055  0.892
F  0.888  0.089  0.096
Se  0.259  0.661  0.388
Se  0.567  0.242  0.116
Se  0.755  0.558  0.392
Se  0.741  0.339  0.612
Se  0.245  0.442  0.608
Se  0.755  0.442  0.108
Se  0.259  0.339  0.112
Se  0.433  0.758  0.884
Se  0.567  0.758  0.384
Se  0.741  0.661  0.888
Se  0.245  0.558  0.892
Se  0.433  0.242  0.616
I  0.721  0.500  0.750
I  0.279  0.500  0.250
Sb  0.000  0.000  0.500
Sb  0.000  0.000  0.000

# 5
An optimized crystal structure of Dy4Y4Er5. Source: Alexandria, functional PBE.

final energy = -5.14 eV/atom
formation energy = 0.02 eV per atom

Lattice parameters (Å, degrees): 4.992 9.362 9.362 85.92 74.54 74.54
Positions (direct):
Er  0.309  0.152  0.230
Er  0.691  0.848  0.770
Er  0.539  0.770  0.152
Er  0.000  0.000  0.000
Er  0.461  0.230  0.848
Y  0.922  0.462  0.694
Y  0.616  0.306  0.462
Y  0.078  0.538  0.306
Y  0.384  0.694  0.538
Dy  0.153  0.077  0.617
Dy  0.847  0.923  0.383
Dy  0.770  0.383  0.077
Dy  0.230  0.617  0.923

# 6
An optimized crystal structure of MgCoCu. Source: Alexandria, functional PBE.

final energy = -4.12 eV/atom
formation energy = 0.14 eV per atom

Lattice parameters (Å, degrees): 5.776 5.776 2.743 76.27 76.27 27.47
Last column: magnetic moment on the atom in μB.
Positions (direct):
Cu  0.346  0.346  0.654  0.04
Mg  0.663  0.663  0.337  -0.01
Co  0.991  0.991  0.009  1.35

# 7
An optimized crystal structure of K5Cd2Te5. Source: Alexandria, functional PBE.

final energy = -2.70 eV/atom
formation energy from raw total energies = -0.78 eV/atom

Lattice parameters (Å, degrees): 4.454 8.602 13.157 105.48 90.00 105.01
Positions (direct):
K  0.336  0.672  0.927
K  0.664  0.328  0.073
K  0.771  0.542  0.368
K  0.229  0.458  0.632
K  0.500  0.000  0.500
Te  0.653  0.307  0.797
Te  0.000  0.000  0.000
Te  0.108  0.215  0.371
Te  0.892  0.785  0.629
Te  0.347  0.693  0.203
Cd  0.959  0.917  0.203
Cd  0.041  0.083  0.797

# 8
An optimized crystal structure of NaZn5Ag6. Source: Alexandria, functional PBE.

final energy = -2.07 eV/atom
formation energy = 0.00 eV per atom

Lattice parameters (Å, degrees): 4.962 5.798 7.066 90.00 94.18 90.00
Positions (direct):
Ag  0.500  0.254  0.000
Ag  0.500  0.746  0.000
Ag  0.816  0.254  0.652
Ag  0.184  0.254  0.348
Ag  0.816  0.746  0.652
Ag  0.184  0.746  0.348
Zn  0.658  0.000  0.329
Zn  0.688  0.500  0.315
Zn  0.312  0.500  0.685
Zn  0.000  0.500  0.000
Zn  0.342  0.000  0.671
Na  0.000  0.000  0.000